Entry from the Alexandria database: a relaxed K2CdP crystal (PBE).

Output
**ΔE_f**: 0.03 eV per atom
**Total magnetic moment**: 0.00 Bohr magnetons per cell
**Energy relative to the lowest polymorph listed for this composition**: 0.84 eV/f.u.
**Total DFT energy (no corrections)**: -2.100 eV/atom

Lattice parameters (Å, degrees): 5.0948 5.0948 9.2475 90.00 90.00 90.00
Last column: nearest neighbours and their distance in Å.
Space group I4/mmm (No. 139)
One atom of each set of equivalent atoms:
K 0.0000 0.5000 0.2500  4 Cd 3.44, 4 P 3.44, 4 K 3.60
Cd 0.0000 0.0000 0.0000  8 K 3.44, 4 P 3.60
P 0.0000 0.0000 0.5000  8 K 3.44, 4 Cd 3.60